# PBE-GGA LaGd2Mg3Ag3, relaxed
# crystal system = orthorhombic
# total magnetization = 0.0022 μB per atom
data_LaGd2Mg3Ag3
_chemical_formula_sum 'La2 Gd4 Mg6 Ag6'
_symmetry_space_group_name_H-M 'A m m 2'
_symmetry_Int_Tables_number 38
_symmetry_space_group_name_Hall 'A 2 -2'
_cell_length_a 4.2863
_cell_length_b 13.4074
_cell_length_c 7.7589
_cell_angle_alpha 90.00
_cell_angle_beta 90.00
_cell_angle_gamma 90.00
loop_
_atom_site_label
_atom_site_type_symbol
_atom_site_fract_x
_atom_site_fract_y
_atom_site_fract_z
La1 La 0.0000 0.0000 0.0000
Gd1 Gd 0.0000 0.2079 0.6237
Mg1 Mg 0.5000 0.0000 0.6537
Mg2 Mg 0.5000 0.1228 0.2979
Ag1 Ag 0.0000 0.0000 0.4207
Ag2 Ag 0.5000 0.1707 0.9134



# PBE-GGA Ta3InN2, relaxed
# crystal system = hexagonal
# total magnetization = 0.0008 μB per atom
data_Ta3InN2
_chemical_formula_sum 'Ta6 In2 N4'
_symmetry_space_group_name_H-M 'P 63/m m c'
_symmetry_Int_Tables_number 194
_symmetry_space_group_name_Hall '-P 6c 2c'
_cell_length_a 3.1246
_cell_length_b 3.1246
_cell_length_c 19.6174
_cell_angle_alpha 90.00
_cell_angle_beta 90.00
_cell_angle_gamma 120.00
loop_
_atom_site_label
_atom_site_type_symbol
_atom_site_fract_x
_atom_site_fract_y
_atom_site_fract_z
Ta1 Ta 0.0000 0.0000 0.0000
Ta2 Ta 0.3333 0.6667 0.1268
In1 In 0.0000 0.0000 0.2500
N1 N 0.3333 0.6667 0.5633



# PBE-GGA Li2Sc2AlTlAu2, relaxed
# crystal system = tetragonal
# total magnetization = 0.0003 μB per atom
data_Li2Sc2AlTlAu2
_chemical_formula_sum 'Li2 Sc2 Al1 Tl1 Au2'
_symmetry_space_group_name_H-M 'P -4 m 2'
_symmetry_Int_Tables_number 115
_symmetry_space_group_name_Hall 'P -4 -2'
_cell_length_a 4.6349
_cell_length_b 4.6349
_cell_length_c 6.5946
_cell_angle_alpha 90.00
_cell_angle_beta 90.00
_cell_angle_gamma 90.00
loop_
_atom_site_label
_atom_site_type_symbol
_atom_site_fract_x
_atom_site_fract_y
_atom_site_fract_z
Li1 Li 0.0000 0.5000 0.2422
Sc1 Sc 0.0000 0.0000 0.5000
Sc2 Sc 0.5000 0.5000 0.0000
Al1 Al 0.0000 0.0000 0.0000
Tl1 Tl 0.5000 0.5000 0.5000
Au1 Au 0.0000 0.5000 0.7760



# PBE-GGA LuInNO, relaxed
# distance to the lowest polymorph of the same formula = 384 meV per atom
# crystal system = tetragonal
# total magnetization = 0.0000 μB per atom
data_LuInNO
_chemical_formula_sum 'Lu2 In2 N2 O2'
_symmetry_space_group_name_H-M 'P 4/n m m'
_symmetry_Int_Tables_number 129
_cell_length_a 3.9919
_cell_length_b 3.9919
_cell_length_c 7.6809
_cell_angle_alpha 90.00
_cell_angle_beta 90.00
_cell_angle_gamma 90.00
loop_
_symmetry_equiv_pos_as_xyz
'x,y,z'
'-x,-y,-z'
'-y+1/2,x,z'
'y+1/2,-x,-z'
'-x+1/2,-y+1/2,z'
'x+1/2,y+1/2,-z'
'y,-x+1/2,z'
'-y,x+1/2,-z'
'x+1/2,-y,-z'
'-x+1/2,y,z'
'-y,-x,-z'
'y,x,z'
'-x,y+1/2,-z'
'x,-y+1/2,z'
'y+1/2,x+1/2,-z'
'-y+1/2,-x+1/2,z'
loop_
_atom_site_label
_atom_site_type_symbol
_atom_site_fract_x
_atom_site_fract_y
_atom_site_fract_z
Lu1 Lu 0.2500 0.2500 0.1198
In1 In 0.2500 0.7500 0.5000
N1 N 0.2500 0.2500 0.6632
O1 O 0.2500 0.7500 0.0000



# PBE-GGA In2CuGe, relaxed
# crystal system = cubic
data_In2CuGe
_chemical_formula_sum 'In8 Cu4 Ge4'
_symmetry_space_group_name_H-M 'F -4 3 m'
_symmetry_Int_Tables_number 216
_symmetry_space_group_name_Hall 'F -4 2 3'
_cell_length_a 6.9698
_cell_length_b 6.9698
_cell_length_c 6.9698
_cell_angle_alpha 90.00
_cell_angle_beta 90.00
_cell_angle_gamma 90.00
loop_
_atom_site_label
_atom_site_type_symbol
_atom_site_fract_x
_atom_site_fract_y
_atom_site_fract_z
In1 In 0.0000 0.0000 0.0000
In2 In 0.2500 0.2500 0.2500
Cu1 Cu 0.2500 0.2500 0.7500
Ge1 Ge 0.0000 0.0000 0.5000



# PBE-GGA Lu3P11, relaxed
# crystal system = monoclinic
# total magnetization = 0.0001 μB per atom
data_Lu3P11
_chemical_formula_sum 'Lu6 P22'
_symmetry_space_group_name_H-M 'C 1 m 1'
_symmetry_Int_Tables_number 8
_symmetry_space_group_name_Hall 'C -2y'
_cell_length_a 12.5824
_cell_length_b 7.6676
_cell_length_c 5.6684
_cell_angle_alpha 90.00
_cell_angle_beta 96.88
_cell_angle_gamma 90.00
loop_
_atom_site_label
_atom_site_type_symbol
_atom_site_fract_x
_atom_site_fract_y
_atom_site_fract_z
Lu1 Lu 0.0000 0.0000 0.0000
Lu2 Lu 0.0934 0.5000 0.2624
Lu3 Lu 0.2955 0.0000 0.0364
P1 P 0.1457 0.2494 0.9491
P2 P 0.1677 0.0000 0.4072
P3 P 0.2046 0.2459 0.6031
P4 P 0.3110 0.5000 0.1713
P5 P 0.3874 0.2551 0.6761
P6 P 0.4095 0.2592 0.3008
P7 P 0.4787 0.0000 0.7793



# PBE-GGA Ta9Fe2S6, relaxed
# crystal system = hexagonal
# total magnetization = 0.0000 μB per atom
data_Ta9Fe2S6
_chemical_formula_sum 'Ta18 Fe4 S12'
_symmetry_space_group_name_H-M 'P -6 2 m'
_symmetry_Int_Tables_number 189
_symmetry_space_group_name_Hall 'P -6 -2'
_cell_length_a 10.3856
_cell_length_b 10.3856
_cell_length_c 6.5960
_cell_angle_alpha 90.00
_cell_angle_beta 90.00
_cell_angle_gamma 120.00
loop_
_atom_site_label
_atom_site_type_symbol
_atom_site_fract_x
_atom_site_fract_y
_atom_site_fract_z
Ta1 Ta 0.0000 0.4586 0.2462
Ta2 Ta 0.1910 0.7352 0.5000
Ta3 Ta 0.2156 0.7431 0.0000
Fe1 Fe 0.3333 0.6667 0.2824
S1 S 0.0000 0.2747 0.0000
S2 S 0.0000 0.2768 0.5000
S3 S 0.0000 0.7020 0.2345



# PBE-GGA PrPtNO, relaxed
# distance to the lowest polymorph of the same formula = 0 meV per atom
# crystal system = orthorhombic
# total magnetization = 0.0000 μB per atom
data_PrPtNO
_chemical_formula_sum 'Pr4 Pt4 N4 O4'
_symmetry_space_group_name_H-M 'P c a 21'
_symmetry_Int_Tables_number 29
_symmetry_space_group_name_Hall 'P 2c -2ac'
_cell_length_a 6.3324
_cell_length_b 7.6028
_cell_length_c 5.5509
_cell_angle_alpha 90.00
_cell_angle_beta 90.00
_cell_angle_gamma 90.00
loop_
_atom_site_label
_atom_site_type_symbol
_atom_site_fract_x
_atom_site_fract_y
_atom_site_fract_z
Pr1 Pr 0.0060 0.1464 0.0000
Pt1 Pt 0.1746 0.4450 0.6349
N1 N 0.0509 0.4036 0.3066
O1 O 0.2481 0.9895 0.2450



no.,final energy (eV per formula unit)
1,-29.845
2,-58.315
3,-33.560
4,-25.096
5,-12.631
6,-80.064
7,-160.843
8,-29.122